[1]
Density functional theory data (PBE) for an optimized crystal structure of Ca3SmHo3S8.

Output
ρ in g cm⁻³: 4.83
M_tot in μB per cell: 0.00
V in Å³/atom: 23.4
Formation energy (no corrections) in eV/f.u.: -31.1
Electronic total energy in eV per atom: -5.9044

The structure in CIF format:
```
data_Ca3SmHo3S8
_cell_length_a 7.8787
_cell_length_b 7.8787
_cell_length_c 19.6253
_cell_angle_alpha 90.00
_cell_angle_beta 90.00
_cell_angle_gamma 120.00
_space_group_name_H-M_alt 'R -3 m'
_space_group_IT_number 166
_space_group_name_Hall '-R 3 2"'
loop_
_atom_site_label
_atom_site_fract_x
_atom_site_fract_y
_atom_site_fract_z
Ca1 0.0000 0.5000 0.0000
Sm1 0.0000 0.0000 0.5000
Ho1 0.0000 0.5000 0.5000
S1 0.0000 0.0000 0.2474
S2 0.0051 0.5025 0.7529
```

***

[2]
Density functional theory data (PBE) for an optimized crystal structure of CaSm2HoS4.

Output
ρ in g cm⁻³: 5.92
M_tot in μB per cell: 0.00
V in Å³/atom: 22.2
Formation energy (no corrections) in eV/f.u.: -16.2
Electronic total energy in eV per atom: -6.0949

The structure in CIF format:
```
data_CaSm2HoS4
_cell_length_a 6.873
_cell_length_b 3.955
_cell_length_c 6.923
_cell_angle_alpha 90.00
_cell_angle_beta 109.09
_cell_angle_gamma 90.00
_space_group_name_H-M_alt 'P 1 2/m 1'
_space_group_IT_number 10
loop_
_space_group_symop_operation_xyz
'x,y,z'
'-x,-y,-z'
'-x,y,-z'
'x,-y,z'
loop_
_atom_site_label
_atom_site_fract_x
_atom_site_fract_y
_atom_site_fract_z
Ca1 0.000 0.000 0.000
Sm1 0.000 0.500 0.500
Sm2 0.500 0.000 0.500
Ho1 0.500 0.500 0.000
S1 0.251 0.500 0.243
S2 0.255 0.000 0.760
```

***

[3]
Density functional theory data (PBE) for an optimized crystal structure of Ca2HoSnS4.

Output
ρ in g cm⁻³: 4.42
M_tot in μB per cell: 0.00
V in Å³/atom: 23.1
Formation energy (no corrections) in eV/f.u.: -12.8
Electronic total energy in eV per atom: -5.2373

The structure in CIF format:
```
data_Ca2HoSnS4
_cell_length_a 6.949
_cell_length_b 4.003
_cell_length_c 7.041
_cell_angle_alpha 90.00
_cell_angle_beta 109.35
_cell_angle_gamma 90.00
_space_group_name_H-M_alt 'P 1 2/m 1'
_space_group_IT_number 10
loop_
_space_group_symop_operation_xyz
'x,y,z'
'-x,-y,-z'
'-x,y,-z'
'x,-y,z'
loop_
_atom_site_label
_atom_site_fract_x
_atom_site_fract_y
_atom_site_fract_z
Ca1 0.000 0.000 0.000
Ca2 0.000 0.500 0.500
Ho1 0.500 0.000 0.500
Sn1 0.500 0.500 0.000
S1 0.250 0.000 0.739
S2 0.255 0.500 0.259
```

***

[4]
Density functional theory data (PBE) for an optimized crystal structure of SrCa2HoS4.

Output
ρ in g cm⁻³: 4.08
M_tot in μB per cell: 0.00
V in Å³/atom: 23.5
Formation energy (no corrections) in eV/f.u.: -16.6
Electronic total energy in eV per atom: -5.4155

The structure in CIF format:
```
data_SrCa2HoS4
_cell_length_a 6.994
_cell_length_b 4.038
_cell_length_c 7.044
_cell_angle_alpha 90.00
_cell_angle_beta 109.31
_cell_angle_gamma 90.00
_space_group_name_H-M_alt 'P 1 2/m 1'
_space_group_IT_number 10
loop_
_space_group_symop_operation_xyz
'x,y,z'
'-x,-y,-z'
'-x,y,-z'
'x,-y,z'
loop_
_atom_site_label
_atom_site_fract_x
_atom_site_fract_y
_atom_site_fract_z
Sr1 0.000 0.000 0.000
Ca1 0.500 0.000 0.500
Ca2 0.500 0.500 0.000
Ho1 0.000 0.500 0.500
S1 0.246 0.000 0.737
S2 0.254 0.500 0.265
```

***

[5]
Density functional theory data (PBE) for an optimized crystal structure of SrCaHo4S8.

Output
ρ in g cm⁻³: 4.48
M_tot in μB per cell: 0.00
V in Å³/atom: 27.6
Formation energy (no corrections) in eV/f.u.: -28.3
Electronic total energy in eV per atom: -5.9539

The structure in CIF format:
```
data_SrCaHo4S8
_cell_length_a 8.1532
_cell_length_b 8.1532
_cell_length_c 20.1483
_cell_angle_alpha 90.00
_cell_angle_beta 90.00
_cell_angle_gamma 120.00
_space_group_name_H-M_alt 'R 3 m'
_space_group_IT_number 160
_space_group_name_Hall 'R 3 -2"'
loop_
_atom_site_label
_atom_site_fract_x
_atom_site_fract_y
_atom_site_fract_z
Sr1 0.0000 0.0000 0.0000
Ca1 0.0000 0.0000 0.6251
Ho1 0.0000 0.0000 0.2466
Ho2 0.1701 0.3403 0.4559
S1 0.0000 0.0000 0.3802
S2 0.0000 0.0000 0.8599
S3 0.0352 0.5176 0.3822
S4 0.1743 0.3485 0.2017
```

***

[6]
Density functional theory data (PBE) for an optimized crystal structure of Sr2CaHoS4.

Output
ρ in g cm⁻³: 4.32
M_tot in μB per cell: 0.00
V in Å³/atom: 24.4
Formation energy (no corrections) in eV/f.u.: -16.6
Electronic total energy in eV per atom: -5.3867

The structure in CIF format:
```
data_Sr2CaHoS4
_cell_length_a 7.091
_cell_length_b 4.084
_cell_length_c 7.150
_cell_angle_alpha 90.00
_cell_angle_beta 109.21
_cell_angle_gamma 90.00
_space_group_name_H-M_alt 'P 1 2/m 1'
_space_group_IT_number 10
loop_
_space_group_symop_operation_xyz
'x,y,z'
'-x,-y,-z'
'-x,y,-z'
'x,-y,z'
loop_
_atom_site_label
_atom_site_fract_x
_atom_site_fract_y
_atom_site_fract_z
Sr1 0.000 0.000 0.000
Sr2 0.500 0.500 0.000
Ca1 0.000 0.500 0.500
Ho1 0.500 0.000 0.500
S1 0.250 0.000 0.731
S2 0.263 0.500 0.272
```

***

[7]
Density functional theory data (PBE) for an optimized crystal structure of CaTb4HoS8.

Output
ρ in g cm⁻³: 4.83
M_tot in μB per cell: 0.00
V in Å³/atom: 26.9
Formation energy (no corrections) in eV/f.u.: -28.0
Electronic total energy in eV per atom: -6.1545

The structure in CIF format:
```
data_CaTb4HoS8
_cell_length_a 8.1150
_cell_length_b 8.1150
_cell_length_c 19.8261
_cell_angle_alpha 90.00
_cell_angle_beta 90.00
_cell_angle_gamma 120.00
_space_group_name_H-M_alt 'R 3 m'
_space_group_IT_number 160
_space_group_name_Hall 'R 3 -2"'
loop_
_atom_site_label
_atom_site_fract_x
_atom_site_fract_y
_atom_site_fract_z
Ca1 0.0000 0.0000 0.0000
Tb1 0.0000 0.0000 0.7504
Tb2 0.0052 0.5026 0.8758
Ho1 0.0000 0.0000 0.3731
S1 0.0000 0.0000 0.1352
S2 0.0000 0.0000 0.6174
S3 0.0229 0.5114 0.1271
S4 0.1809 0.3617 0.9559
```

***

[8]
Density functional theory data (PBE) for an optimized crystal structure of CaTb3Ho4S8.

Output
ρ in g cm⁻³: 7.02
M_tot in μB per cell: 0.00
V in Å³/atom: 21.2
Formation energy (no corrections) in eV/f.u.: -32.0
Electronic total energy in eV per atom: -6.2006

The structure in CIF format:
```
data_CaTb3Ho4S8
_cell_length_a 7.8295
_cell_length_b 7.8295
_cell_length_c 19.1693
_cell_angle_alpha 90.00
_cell_angle_beta 90.00
_cell_angle_gamma 120.00
_space_group_name_H-M_alt 'R -3 m'
_space_group_IT_number 166
_space_group_name_Hall '-R 3 2"'
loop_
_atom_site_label
_atom_site_fract_x
_atom_site_fract_y
_atom_site_fract_z
Ca1 0.0000 0.0000 0.0000
Tb1 0.0000 0.5000 0.0000
Ho1 0.0000 0.0000 0.5000
Ho2 0.0000 0.5000 0.5000
S1 0.0000 0.0000 0.2486
S2 0.9999 0.4999 0.2486
```

***

[9]
Density functional theory data (PBE) for an optimized crystal structure of CaTb4Ho3S8.

Output
ρ in g cm⁻³: 6.96
M_tot in μB per cell: 0.00
V in Å³/atom: 21.3
Formation energy (no corrections) in eV/f.u.: -32.0
Electronic total energy in eV per atom: -6.2073

The structure in CIF format:
```
data_CaTb4Ho3S8
_cell_length_a 7.8320
_cell_length_b 7.8320
_cell_length_c 19.2258
_cell_angle_alpha 90.00
_cell_angle_beta 90.00
_cell_angle_gamma 120.00
_space_group_name_H-M_alt 'R -3 m'
_space_group_IT_number 166
_space_group_name_Hall '-R 3 2"'
loop_
_atom_site_label
_atom_site_fract_x
_atom_site_fract_y
_atom_site_fract_z
Ca1 0.0000 0.0000 0.0000
Tb1 0.0000 0.0000 0.5000
Tb2 0.0000 0.5000 0.5000
Ho1 0.0000 0.5000 0.0000
S1 0.0000 0.0000 0.2514
S2 0.0017 0.5008 0.2510
```

***

[10]
Density functional theory data (PBE) for an optimized crystal structure of Ca3TbHo3S8.

Output
ρ in g cm⁻³: 4.90
M_tot in μB per cell: 0.00
V in Å³/atom: 23.3
Formation energy (no corrections) in eV/f.u.: -31.3
Electronic total energy in eV per atom: -5.9118

The structure in CIF format:
```
data_Ca3TbHo3S8
_cell_length_a 7.8568
_cell_length_b 7.8568
_cell_length_c 19.6165
_cell_angle_alpha 90.00
_cell_angle_beta 90.00
_cell_angle_gamma 120.00
_space_group_name_H-M_alt 'R -3 m'
_space_group_IT_number 166
_space_group_name_Hall '-R 3 2"'
loop_
_atom_site_label
_atom_site_fract_x
_atom_site_fract_y
_atom_site_fract_z
Ca1 0.0000 0.5000 0.0000
Tb1 0.0000 0.0000 0.5000
Ho1 0.0000 0.5000 0.5000
S1 0.0000 0.0000 0.2475
S2 0.0008 0.5004 0.7538
```

***

- Look up the electronic total energy of the fifth one.
  -5.9539 eV per atom

***

- Which formula does entry 10 have?
  Ca3TbHo3S8